Density functional theory data (GGA-PBE) for a relaxed structure of BeAlBr4.

Output
final energy	-1.461	eV per atom
symmetry	F-43m (216)
size of the total moment	1.90	μB per cell
formation energy without anion corrections	0.899	eV/atom

a b c (Å): 6.382 6.382 6.382
angles (deg): 60.00 60.00 60.00
Last column: magnetic moment on the atom in μB.
Element x y z (fractional)
Be (0.000, 0.000, 0.000)  0.15
Al (0.750, 0.750, 0.750)  0.00
Br (0.877, 0.374, 0.374)  0.30
Br (0.374, 0.374, 0.877)  0.30
Br (0.374, 0.877, 0.374)  0.30
Br (0.374, 0.374, 0.374)  0.30